ErAgMo2O8 | GGA+U | optimized geometry

abc: 6.1962 6.1962 6.1962
angles: 106.27 106.27 116.08
Closest atoms and distances in Å follow each position.
Fractional positions:
Er  0.2500  0.7500  0.5000  8 O 2.31-2.50
Ag  0.0000  0.0000  0.0000  4 O 2.40
Mo  0.7500  0.2500  0.5000  4 O 1.80
Mo  0.5000  0.5000  0.0000  4 O 1.80
O  0.3867  0.0694  0.3173  1 Mo 1.80
O  0.3490  0.5511  0.2021  1 Mo 1.80
O  0.3490  0.1468  0.7979  1 Mo 1.80
O  0.7520  0.0694  0.6827  1 Mo 1.80
O  0.8532  0.6510  0.2021  1 Mo 1.80
O  0.9306  0.2480  0.3173  1 Mo 1.80
O  0.9306  0.6133  0.6827  1 Mo 1.80
O  0.4489  0.6510  0.7979  1 Mo 1.80

Properties
Space-group type ... I-4m2
M_tot ... 0.000 μB per cell
DOS(E_F) ... 0.0 states/eV/f.u.
Final energy ... -6.937 eV/atom